1.
This record from Alexandria describes a relaxed structure of NdNpSi4. The functional is PBE.

a b c (Å): 6.979 16.618 3.983
angles (deg): 90.00 90.00 90.00
Space group Pbam (No. 55)
One atom of each set of equivalent atoms:
Nd1 0.092 0.185 0.000 (multiplicity 4)
Np1 0.083 0.437 0.000 (multiplicity 4)
Si1 0.074 0.683 0.500 (multiplicity 4)
Si2 0.090 0.931 0.500 (multiplicity 4)
Si3 0.225 0.552 0.500 (multiplicity 4)
Si4 0.244 0.808 0.500 (multiplicity 4)

## Properties
Spin magnetization (μB per cell): 5.55
Energy relative to the elements, uncorrected (meV per atom): -321
DOS(E_F) (states/eV per atom): 1.01
V (Å³ per cell): 462.0


2.
This record from Alexandria describes a relaxed structure of MgZrNb3. The functional is PBE.

a b c (Å): 4.796 4.796 4.796
angles (deg): 90.00 90.00 90.00
Space group Pm-3m (No. 221)
One atom of each set of equivalent atoms:
Mg1 0.000 0.000 0.000 (multiplicity 1)
Zr1 0.500 0.500 0.500 (multiplicity 1)
Nb1 0.000 0.000 0.500 (multiplicity 3)

## Properties
Energy relative to the lowest polymorph listed for this composition (meV/atom): 20
Spin magnetization (μB per cell): 0.00
DOS(E_F) (states/eV per atom): 1.46
V (Å³ per cell): 110.3


3.
This record from Alexandria describes a relaxed structure of Li2GeRh. The functional is PBE.

a b c (Å): 3.629 3.629 4.188
angles (deg): 90.00 90.00 90.00
Space group P4/mmm (No. 123)
One atom of each set of equivalent atoms:
Li1 0.000 0.500 0.000 (multiplicity 2)
Ge1 0.000 0.000 0.500 (multiplicity 1)
Rh1 0.500 0.500 0.500 (multiplicity 1)

## Properties
Spin magnetization (μB per cell): 0.00
DOS(E_F) (states/eV per atom): 0.56
V (Å³ per cell): 55.2
E_tot (Ry/atom): -0.319